Entry from Alexandria via LeMat-Bulk: an optimized crystal structure of LaThSb (PBE).

The crystal system is trigonal. The value obtained for the electronic total energy is -5.75 eV per atom. The total moment is 0.00 μB/f.u. The value obtained for the uncorrected formation energy is -0.26 eV/atom.

The space group is P3m1 (No. 156) and the conventional cell measures 5.4061, 5.4061 and 3.9165 Å, with angles of 90.00, 90.00 and 120.00 degrees. The asymmetric unit holds La at (0.0000, 0.0000, 0.0000), Th at (0.3333, 0.6667, 0.5046) and Sb at (0.6667, 0.3333, 0.4004).

***

Entry from Alexandria via LeMat-Bulk: an optimized crystal structure of La4ThSb5 (PBE).

The crystal system is tetragonal. The value obtained for the electronic total energy is -6.00 eV per atom. The value obtained for the distance to the lowest polymorph of the same formula is 0 meV/atom. The total moment is 0.00 μB/f.u. The value obtained for the uncorrected formation energy is -1.22 eV/atom.

The space group is I4/m (No. 87) and the conventional cell measures 10.283, 10.283 and 6.502 Å, with angles of 90.00, 90.00 and 90.00 degrees. The asymmetric unit holds La at (0.098, 0.699, 0.000), Th at (0.000, 0.000, 0.500), Sb at (0.000, 0.000, 0.000) and Sb at (0.099, 0.705, 0.500).

***

Entry from Alexandria via LeMat-Bulk: an optimized crystal structure of LaThSb2 (PBE).

The crystal system is hexagonal. The value obtained for the electronic total energy is -6.23 eV per atom. The value obtained for the distance to the lowest polymorph of the same formula is 31 meV/atom. The total moment is 0.00 μB/f.u. The value obtained for the uncorrected formation energy is -1.08 eV/atom.

The space group is P6_3/mmc (No. 194) and the conventional cell measures 4.5161, 4.5161 and 15.1974 Å, with angles of 90.00, 90.00 and 120.00 degrees. The asymmetric unit holds La at (0.3333, 0.6667, 0.2500), Th at (0.0000, 0.0000, 0.0000) and Sb at (0.3333, 0.6667, 0.6203).

***

Entry from Alexandria via LeMat-Bulk: an optimized crystal structure of LaTh2Sb4 (PBE).

The crystal system is orthorhombic. The value obtained for the electronic total energy is -5.92 eV per atom. The total moment is 0.00 μB/f.u. The value obtained for the uncorrected formation energy is -0.74 eV/atom.

The space group is Cmcm (No. 63) and the conventional cell measures 4.559, 15.194 and 14.041 Å, with angles of 90.00, 90.00 and 90.00 degrees. The asymmetric unit holds La at (0.000, 0.107, 0.250), Th at (0.000, 0.365, 0.059), Sb at (0.000, 0.000, 0.000), Sb at (0.000, 0.264, 0.638) and Sb at (0.000, 0.460, 0.250).

***

Entry from Alexandria via LeMat-Bulk: an optimized crystal structure of La3ThSb4 (PBE).

The crystal system is orthorhombic. The value obtained for the electronic total energy is -6.04 eV per atom. The total moment is 0.00 μB/f.u. The value obtained for the uncorrected formation energy is -1.21 eV/atom.

The space group is Cmmm (No. 65) and the conventional cell measures 9.188, 12.979 and 4.590 Å, with angles of 90.00, 90.00 and 90.00 degrees. The asymmetric unit holds La at (0.000, 0.000, 0.000), La at (0.250, 0.250, 0.500), Th at (0.000, 0.500, 0.000), Sb at (0.000, 0.253, 0.000) and Sb at (0.245, 0.500, 0.500).

***

Entry from Alexandria via LeMat-Bulk: an optimized crystal structure of LaTh5Sb8 (PBE).

The crystal system is tetragonal. The value obtained for the electronic total energy is -6.31 eV per atom. The total moment is 0.00 μB/f.u. The value obtained for the uncorrected formation energy is -0.95 eV/atom.

The space group is I-4 (No. 82) and the conventional cell measures 9.465, 9.465 and 9.496 Å, with angles of 90.00, 90.00 and 90.00 degrees. The asymmetric unit holds La at (0.000, 0.000, 0.000), Th at (0.000, 0.500, 0.750), Th at (0.126, 0.750, 0.372), Sb at (0.080, 0.667, 0.046) and Sb at (0.081, 0.829, 0.700).

***

Q: What is the total moment in the sixth record?
A: 0.00 μB/f.u.

***

Q: Among the records above, which one has the lowest electronic total energy?
A: LaTh5Sb8

***

Q: What is the total moment in the fourth record?
A: 0.00 μB/f.u.

***

Q: Among the records above, which one has the lowest electronic total energy?
A: LaTh5Sb8